A relaxed structure of LaEr4S5, computed with GGA-PBE.

abc: 10.420 10.420 10.420
angles: 158.42 149.02 38.07
Fractional positions:
La 0.000 0.000 0.000
Er 0.203 0.203 0.000
Er 0.401 0.401 0.000
Er 0.599 0.599 0.000
Er 0.797 0.797 0.000
S 0.109 0.609 0.500
S 0.301 0.801 0.500
S 0.500 0.000 0.500
S 0.699 0.199 0.500
S 0.891 0.391 0.500

- V (Å³/atom) = 21.4
- space group = No. 71
- M_tot (μB/f.u.) = 0.000
- energy relative to the elements, uncorrected (eV/atom) = -1.97
- VASP energy (eV per atom) = -6.36